An optimized crystal structure of SiP3H. Source: the Alexandria database, functional PBEsol.

Results
- Spin magnetization: 0.000 μB per atom
- Raw total energy: -4.550 eV/atom

Unit cell a=3.9207 b=3.9207 c=3.9207 alpha=90.00 beta=90.00 gamma=90.00
Positions (direct):
Si  0.0000  0.0000  0.0000
P  0.0000  0.5000  0.5000
P  0.5000  0.0000  0.5000
P  0.5000  0.5000  0.0000
H  0.5000  0.5000  0.5000